Here is crystalline Co2CuTcO6 at its relaxed geometry from Alexandria via LeMat-Bulk. Energies are from PBE with a Hubbard U.

Uncorrected energy (eV/atom): -6.425
Fermi-level density of states (states/eV per atom): 0.30
Symmetry: No. 146

Unit cell a=5.476 b=5.476 c=5.476 alpha=54.75 beta=54.75 gamma=54.75
Positions (direct):
Co 0.000 0.000 0.000
Co 0.486 0.486 0.486
Cu 0.203 0.203 0.203
Tc 0.687 0.687 0.687
O 0.075 0.396 0.785
O 0.276 0.892 0.618
O 0.396 0.785 0.075
O 0.618 0.276 0.892
O 0.785 0.075 0.396
O 0.892 0.618 0.276